[1]
## YMn4Cr (PBE)

Data for a relaxed YMn4Cr crystal.

The structure in POSCAR format:
```
YMn4Cr
1.0
0.000 3.504 3.504
3.504 0.000 3.504
3.504 3.504 0.000
Mn Cr Y
4 1 1
Cartesian
4.383 4.383 2.625
4.383 2.625 4.383
2.625 4.383 4.383
2.625 2.625 2.625
0.000 0.000 0.000
5.256 5.256 5.256
```

Results
**E_form**: 1.37 eV/f.u.

---

[2]
## IrPdS3 (PBE)

Data for a relaxed IrPdS3 crystal.

The structure in POSCAR format:
```
IrPdS3
1.0
-2.218 -2.351 3.326
1.028 -3.988 -2.133
3.941 -0.283 2.428
S Ir Pd
3 1 1
Cartesian
1.971 -0.141 1.214
-1.109 -1.175 1.663
0.514 -1.994 -1.067
0.000 0.000 0.000
1.376 -3.311 1.811
```

Results
**Energy relative to the lowest polymorph listed for this composition**: 0.000 eV per atom

---

[3]
## Cd2P (PBE)

Data for a relaxed Cd2P crystal.

The structure in POSCAR format:
```
Cd2P
1.0
-3.696 -3.704 -4.455
-2.329 -5.800 -2.857
-5.796 -1.125 3.482
P Cd
2 4
Cartesian
-9.612 -7.808 -2.019
-2.944 -0.654 1.660
-3.557 -3.439 -1.469
-7.319 -7.031 -2.961
-0.777 -0.480 0.035
-7.201 -4.744 -0.063
```

Results
**Energy relative to the lowest polymorph listed for this composition**: 0.108 eV per atom
**E_form**: 0.59 eV/f.u.

---

[4]
## MgCo2TcN (PBE)

Data for a relaxed MgCo2TcN crystal.

The structure in POSCAR format:
```
MgCo2TcN
1.0
3.843 0.000 0.000
0.000 3.843 0.000
0.000 0.000 4.009
Mg N Co Tc
1 1 2 1
Cartesian
1.922 1.922 2.005
0.000 0.000 0.000
0.000 1.922 0.000
1.922 0.000 0.000
0.000 0.000 2.005
```

Results
**Energy**: -6.96 eV per atom

---

[5]
## La5TbN5 (PBE)

Data for a relaxed La5TbN5 crystal.

The structure in POSCAR format:
```
La5TbN5
1.0
5.252 0.000 0.000
-2.626 5.497 -1.911
0.000 0.072 7.381
La N Tb
5 5 1
Cartesian
2.626 1.935 5.578
0.000 0.036 3.691
2.626 1.900 1.737
0.000 3.670 3.733
0.000 3.635 -0.108
2.626 3.810 3.683
2.626 3.671 -0.091
0.000 1.759 1.788
2.626 0.000 0.000
0.000 1.898 5.561
0.000 0.000 0.000
```

Results
**Energy**: -7.69 eV per atom

---

[6]
## GaBiTe (PBE)

Data for a relaxed GaBiTe crystal.

The structure in POSCAR format:
```
GaBiTe
1.0
-1.775 -1.725 4.711
3.149 -2.901 0.124
5.729 6.314 2.263
Te Ga Bi
2 2 2
Cartesian
4.584 3.619 5.259
2.518 -1.932 1.839
1.738 0.325 0.460
5.364 1.362 6.637
5.266 1.071 2.304
1.836 0.616 4.794
```

Results
**Energy relative to the lowest polymorph listed for this composition**: 0.011 eV per atom

---

[7]
## LuGaOs (PBE)

Data for a relaxed LuGaOs crystal.

The structure in POSCAR format:
```
LuGaOs
1.0
3.321 0.000 0.000
0.000 3.321 0.000
-1.660 -1.660 4.883
Lu Ga Os
1 1 1
Cartesian
1.660 1.660 4.818
1.660 1.660 1.877
0.000 0.000 3.070
```

Results
**E_form**: -1.05 eV/f.u.

---

[8]
## CuGeBi3 (PBE)

Data for a relaxed CuGeBi3 crystal.

The structure in POSCAR format:
```
CuGeBi3
1.0
-2.593 3.690 2.707
-3.283 -3.667 1.854
3.188 -0.776 4.111
Cu Bi Ge
1 3 1
Cartesian
0.000 0.000 0.000
-1.296 1.845 1.354
1.594 -0.388 2.056
-1.642 -1.834 0.927
-1.344 -0.377 4.336
```

Results
**Energy relative to the lowest polymorph listed for this composition**: 0.000 eV per atom
**E_form**: 2.65 eV/f.u.

---

[9]
## NdY6Tl3 (PBE)

Data for a relaxed NdY6Tl3 crystal.

The structure in POSCAR format:
```
NdY6Tl3
1.0
-6.941 -0.506 4.857
-1.232 -8.184 -2.614
4.950 -1.870 6.879
Y Nd Tl
12 2 6
Cartesian
1.797 -6.588 6.488
0.961 -7.189 3.046
3.412 -2.231 7.371
-0.433 -3.599 7.497
-0.105 -1.446 4.306
-2.980 -3.283 5.235
-5.862 -4.034 3.224
-0.284 -3.821 1.617
-0.326 -6.782 -0.098
-5.717 -8.263 1.111
-1.735 -6.652 6.664
-3.960 -9.176 5.406
-2.709 -6.395 2.891
2.944 -3.913 3.812
-0.130 -4.702 4.633
-0.701 -8.904 4.905
-3.143 -8.107 8.913
-3.008 -2.668 2.259
-4.592 -5.968 5.539
-5.450 -1.871 6.267
```

Results
**E_form**: -1.65 eV/f.u.

---

[10]
## YCuRe2 (PBE)

Data for a relaxed YCuRe2 crystal.

The structure in POSCAR format:
```
YCuRe2
1.0
-0.549 -1.843 -1.874
3.660 -1.877 0.774
-2.742 -3.568 4.311
Y Cu Re
1 1 2
Cartesian
0.870 -2.752 0.528
-0.501 -4.536 2.683
-1.519 -1.977 2.389
-2.593 -3.374 4.077
```

Results
**Energy relative to the lowest polymorph listed for this composition**: 0.439 eV per atom
**E_form**: 2.09 eV/f.u.

---

[11]
## NaMnPd2 (PBE)

Data for a relaxed NaMnPd2 crystal.

The structure in POSCAR format:
```
NaMnPd2
1.0
7.216 0.000 0.000
0.000 7.216 0.000
3.608 3.608 2.817
Mn Na Pd
2 2 4
Cartesian
7.216 3.608 1.408
0.000 0.000 0.000
3.608 3.608 0.000
3.608 7.216 1.408
5.412 5.216 2.113
5.608 1.804 0.704
9.020 9.216 2.113
1.608 5.412 0.704
```

Results
**Energy relative to the lowest polymorph listed for this composition**: 0.351 eV per atom
**E_form**: 0.77 eV/f.u.

---

[12]
## CeY3N4 (PBE)

Data for a relaxed CeY3N4 crystal.

The structure in POSCAR format:
```
CeY3N4
1.0
-1.687 2.212 -2.131
-4.164 -4.248 -1.114
-1.725 3.289 4.778
Ce N Y
1 4 3
Cartesian
-0.843 1.106 -1.066
-4.402 -1.274 -0.719
-1.469 -0.239 0.914
-3.173 2.527 2.252
-4.420 -0.720 2.751
-0.862 1.645 2.389
-2.082 -2.124 -0.557
-3.788 0.626 0.767
```

Results
**Energy relative to the lowest polymorph listed for this composition**: 0.005 eV per atom

---

[13]
## CuAsPb2 (PBE)

Data for a relaxed CuAsPb2 crystal.

The structure in POSCAR format:
```
CuAsPb2
1.0
7.580 0.170 0.402
-2.885 4.051 -0.068
1.811 1.349 3.192
Pb As Cu
2 1 1
Cartesian
0.000 0.000 0.000
4.696 0.759 1.797
-0.537 2.700 1.562
2.348 2.111 0.167
```

Results
**E_form**: 1.10 eV/f.u.

---

[14]
## PrScCu10 (PBE)

Data for a relaxed PrScCu10 crystal.

The structure in POSCAR format:
```
PrScCu10
1.0
-0.110 3.843 -1.475
-4.236 0.853 2.541
4.632 2.743 6.801
Cu Pr Sc
10 1 1
Cartesian
1.788 2.740 7.007
2.414 4.211 5.043
-1.393 0.856 2.335
2.261 3.293 2.663
-2.173 2.348 0.533
0.024 2.795 1.533
0.261 4.644 6.334
-2.129 3.229 2.825
1.481 0.877 2.175
3.151 1.866 4.626
0.198 1.798 4.671
0.000 0.000 0.000
```

Results
**E_form**: -1.70 eV/f.u.

---

[15]
## Ba3CaGe2 (PBE)

Data for a relaxed Ba3CaGe2 crystal.

The structure in POSCAR format:
```
Ba3CaGe2
1.0
-7.303 2.624 -0.548
-1.787 -3.695 6.127
6.527 6.986 1.679
Ba Ge Ca
6 4 2
Cartesian
-5.105 4.524 1.239
-0.960 4.817 2.625
-4.992 -1.460 4.321
-1.603 1.097 4.633
2.541 1.390 6.019
-4.098 0.388 1.258
-6.122 1.652 3.649
-1.178 2.044 0.889
3.559 4.263 3.609
-1.385 3.870 6.369
-0.447 -0.924 1.532
-1.341 -2.771 4.595
```

Results
**E_form**: -3.01 eV/f.u.

---

[16]
## PaPRu2C (PBE)

Data for a relaxed PaPRu2C crystal.

The structure in POSCAR format:
```
PaPRu2C
1.0
3.784 0.000 0.000
-1.892 5.637 0.000
0.000 0.000 6.971
C Ru Pa P
2 4 2 2
Cartesian
0.000 0.000 3.485
0.000 0.000 0.000
1.892 3.755 3.129
0.000 1.881 3.842
0.000 1.881 6.614
1.892 3.755 0.357
1.892 0.547 1.743
0.000 5.090 5.228
0.000 3.065 1.743
1.892 2.571 5.228
```

Results
**E_form**: -2.92 eV/f.u.

---

[17]
## YU2MnC4 (PBE)

Data for a relaxed YU2MnC4 crystal.

The structure in POSCAR format:
```
YU2MnC4
1.0
-3.150 -1.314 -0.863
3.987 -2.648 -3.342
1.247 -8.273 8.043
C Y U Mn
8 2 4 2
Cartesian
1.408 -2.747 -0.958
-0.901 -3.222 1.012
0.000 0.000 0.000
1.721 -4.822 1.059
0.676 -9.488 4.795
0.363 -7.413 2.779
0.624 -4.137 4.021
2.985 -9.013 2.826
1.461 -6.925 5.210
0.623 -5.310 -1.372
-0.383 -5.249 2.209
2.467 -6.986 1.629
2.968 -10.308 4.858
-0.884 -1.927 -1.021
1.020 -9.136 3.004
1.064 -3.099 0.833
```

Results
**E_form**: -0.76 eV/f.u.

---

[18]
## CeThAgBi (PBE)

Data for a relaxed CeThAgBi crystal.

The structure in POSCAR format:
```
CeThAgBi
1.0
5.442 0.000 0.000
2.721 4.713 0.000
2.721 1.571 4.443
Bi Ce Th Ag
1 1 1 1
Cartesian
8.162 4.713 3.332
5.442 3.142 2.222
0.000 0.000 0.000
2.721 1.571 1.111
```

Results
**E_form**: -1.00 eV/f.u.

---

[19]
## LiHoLu2 (PBE)

Data for a relaxed LiHoLu2 crystal.

The structure in POSCAR format:
```
LiHoLu2
1.0
-0.983 -2.855 1.559
1.278 -0.800 3.045
-8.785 4.731 6.827
Li Lu Ho
1 2 1
Cartesian
0.000 0.000 0.000
-2.062 -2.076 6.008
-6.429 3.153 5.423
-4.245 0.538 5.715
```

Results
**Energy relative to the lowest polymorph listed for this composition**: 0.112 eV per atom
**E_form**: 0.78 eV/f.u.

---

[20]
## FeCo2Ag (PBE)

Data for a relaxed FeCo2Ag crystal.

The structure in POSCAR format:
```
FeCo2Ag
1.0
4.930 -0.007 -0.014
2.207 4.408 0.014
-3.054 -3.035 2.401
Fe Co Ag
1 2 1
Cartesian
2.722 -0.421 1.194
3.708 2.286 0.000
6.997 4.315 0.000
1.361 1.787 1.208
```

Results
**Energy relative to the lowest polymorph listed for this composition**: 0.118 eV per atom
**E_form**: 1.33 eV/f.u.

---

[21]
## Nb2AlNi4 (PBE)

Data for a relaxed Nb2AlNi4 crystal.

The structure in POSCAR format:
```
Nb2AlNi4
1.0
4.163 0.000 0.000
0.000 4.163 0.000
2.081 2.081 6.347
Ni Al Nb
4 1 2
Cartesian
4.163 4.163 2.300
0.000 2.081 0.000
2.081 0.000 0.000
2.081 2.081 4.047
0.000 0.000 0.000
4.163 4.163 4.632
2.081 2.081 1.715
```

Results
**Energy relative to the lowest polymorph listed for this composition**: 0.713 eV per atom
**E_form**: 4.38 eV/f.u.

---

[22]
## Ag2BiBS4 (PBE)

Data for a relaxed Ag2BiBS4 crystal.

The structure in POSCAR format:
```
Ag2BiBS4
1.0
7.617 -0.529 -0.061
-0.535 7.617 -0.061
-3.536 -3.538 6.766
Ag Bi S B
4 2 8 2
Cartesian
-1.768 -1.769 3.383
3.809 -0.265 -0.031
2.041 -2.034 3.352
3.541 3.544 -0.061
5.582 1.510 3.291
-0.267 3.808 -0.031
5.913 5.881 0.018
-0.510 4.320 2.802
-1.523 1.797 6.185
-2.366 -2.331 6.626
4.057 -0.771 3.842
0.567 0.604 3.462
2.979 2.945 3.182
5.070 1.752 0.459
1.773 1.775 3.322
4.081 -4.067 6.705
```

Results
**Energy**: -4.20 eV per atom

---

[23]
## FeRuRh2 (PBE)

Data for a relaxed FeRuRh2 crystal.

The structure in POSCAR format:
```
FeRuRh2
1.0
-3.142 -0.059 -5.148
-2.026 -0.885 4.069
-1.709 2.060 -0.402
Rh Ru Fe
2 1 1
Cartesian
0.000 0.000 0.000
-2.426 1.000 -2.775
-1.868 0.587 1.834
-2.584 -0.472 -0.539
```

Results
**E_form**: 0.16 eV/f.u.

---

[24]
## KTa2Br (PBE)

Data for a relaxed KTa2Br crystal.

The structure in POSCAR format:
```
KTa2Br
1.0
7.823 0.059 0.000
5.797 5.254 0.000
-6.810 -2.656 2.788
Ta K Br
2 1 1
Cartesian
0.000 0.000 0.000
6.810 2.656 0.000
3.912 0.030 1.394
2.898 2.627 1.394
```

Results
**Energy relative to the lowest polymorph listed for this composition**: 0.722 eV per atom

---

[25]
## V2CuPt2 (PBE)

Data for a relaxed V2CuPt2 crystal.

The structure in POSCAR format:
```
V2CuPt2
1.0
7.464 0.000 0.000
0.000 7.464 0.000
0.000 0.000 2.714
Pt V Cu
4 4 2
Cartesian
0.979 2.752 0.000
4.711 0.979 0.000
6.484 4.711 0.000
2.752 6.484 0.000
4.972 6.224 1.357
1.240 4.972 1.357
2.492 1.240 1.357
6.224 2.492 1.357
0.000 0.000 0.000
3.732 3.732 0.000
```

Results
**Energy relative to the lowest polymorph listed for this composition**: 0.000 eV per atom
**E_form**: -1.24 eV/f.u.